[1]
# TmLu3

An optimized crystal structure of TmLu3 (GGA-PBE, Alexandria via LeMat-Bulk).

Output
The calculation puts the formation energy at -1 meV per atom. The density of states at the Fermi level comes out at 7.49 states/eV/f.u. As for the total magnetization: 0.2 μB/f.u. As for the excess energy over the best structure of this formula in the dataset: 2 kJ/mol of formula units.

Cell and atoms, written as POSCAR:
```
TmLu3
1.0
7.053 0.000 0.000
-3.526 6.108 0.000
0.000 0.000 5.481
Lu Tm
6 2
direct
0.166 0.834 0.250 Lu
0.166 0.333 0.250 Lu
0.667 0.834 0.250 Lu
0.834 0.166 0.750 Lu
0.834 0.667 0.750 Lu
0.333 0.166 0.750 Lu
0.333 0.667 0.750 Tm
0.667 0.333 0.250 Tm
```



[2]
# NiTeBr2

An optimized crystal structure of NiTeBr2 (GGA-PBE, Alexandria via LeMat-Bulk).

Output
The density of states at the Fermi level comes out at 3.44 states/eV/f.u. As for the total magnetization: 0.2 μB/f.u. The value obtained for the formation energy (no corrections) is -0.05 eV per atom. As for the excess energy over the best structure of this formula in the dataset: 75 kJ/mol of formula units.

Cell and atoms, written as POSCAR:
```
NiTeBr2
1.0
-0.025 -1.904 -2.775
6.111 -2.690 1.792
1.880 -5.512 3.766
Br Ni Te
2 1 1
direct
0.000 0.114 0.114 Br
0.000 0.386 0.386 Br
0.500 0.250 0.250 Ni
0.500 0.750 0.750 Te
```



[3]
# Mn5AlTc2B2

An optimized crystal structure of Mn5AlTc2B2 (GGA-PBE, Alexandria via LeMat-Bulk).

Output
The calculation puts the formation energy at -216 meV per atom. The density of states at the Fermi level comes out at 8.86 states/eV/f.u. As for the total magnetization: 2.6 μB/f.u.

Cell and atoms, written as POSCAR:
```
Mn5AlTc2B2
1.0
2.813 0.000 0.000
0.000 8.744 0.000
0.000 0.000 8.744
Tc B Al Mn
4 4 2 10
direct
0.000 0.679 0.179 Tc
0.000 0.179 0.321 Tc
0.000 0.821 0.679 Tc
0.000 0.321 0.821 Tc
0.000 0.876 0.376 B
0.000 0.376 0.124 B
0.000 0.124 0.624 B
0.000 0.624 0.876 B
0.000 0.500 0.500 Al
0.000 0.000 0.000 Al
0.500 0.281 0.564 Mn
0.500 0.219 0.064 Mn
0.500 0.936 0.219 Mn
0.500 0.064 0.781 Mn
0.500 0.436 0.281 Mn
0.500 0.500 0.000 Mn
0.500 0.719 0.436 Mn
0.500 0.000 0.500 Mn
0.500 0.781 0.936 Mn
0.500 0.564 0.719 Mn
```



Which value of total magnetization does entry 3 give? 2.6 μB/f.u.